A plane-wave DFT calculation with GGA+U was carried out for a relaxed structure of SmTaFe2O6.

POSCAR file:
```
SmTaFe2O6
1.0
5.465 0.000 0.000
2.712 4.752 0.000
2.682 1.591 4.897
Sm Ta Fe O
1 1 2 6
Direct
0.000 0.000 0.000 Sm
0.486 0.497 0.527 Ta
0.282 0.296 0.146 Fe
0.786 0.790 0.643 Fe
0.105 0.417 0.826 O
0.215 0.865 0.346 O
0.418 0.675 0.808 O
0.556 0.241 0.336 O
0.669 0.108 0.806 O
0.852 0.581 0.346 O
```

Computed properties:
- magnetic moment (μB per formula unit) = 8.0
- VASP energy (eV/f.u.) = -81.84
- space-group type = P1 (1)